Record 1
12
Lattice="6.921 0.000 0.000 0.000 6.921 0.000 0.000 0.000 6.921" Properties=species:S:1:pos:R:3 comment="LaPuZn | the Open Quantum Materials Database | GGA-PBE | relaxed" polymorph_energy_mev_per_atom=105 space_group="No. 216" delta_e_f_ev_per_atom=0.41 pbc="T T T"
La 0.000 0.000 0.000
La 0.000 3.460 3.460
La 3.460 0.000 3.460
La 3.460 3.460 0.000
Pu 1.730 1.730 5.190
Pu 1.730 5.190 1.730
Pu 5.190 1.730 1.730
Pu 5.190 5.190 5.190
Zn 1.730 1.730 1.730
Zn 1.730 5.190 5.190
Zn 5.190 1.730 5.190
Zn 5.190 5.190 1.730

=====

Record 2
12
Lattice="6.951 0.000 0.000 0.000 6.951 0.000 0.000 0.000 6.951" Properties=species:S:1:pos:R:3 comment="LaPuZn | the Open Quantum Materials Database | GGA-PBE | relaxed" polymorph_energy_mev_per_atom=0 space_group="No. 216" delta_e_f_ev_per_atom=0.30 pbc="T T T"
La 0.000 0.000 0.000
La 0.000 3.475 3.475
La 3.475 0.000 3.475
La 3.475 3.475 0.000
Pu 1.738 1.738 1.738
Pu 1.738 5.213 5.213
Pu 5.213 1.738 5.213
Pu 5.213 5.213 1.738
Zn 0.000 0.000 3.475
Zn 0.000 3.475 0.000
Zn 3.475 0.000 0.000
Zn 3.475 3.475 3.475

=====

Record 3
12
Lattice="6.978 0.000 0.000 0.000 6.978 0.000 0.000 0.000 6.978" Properties=species:S:1:pos:R:3 comment="LaPuZr | the Open Quantum Materials Database | GGA-PBE | relaxed" polymorph_energy_mev_per_atom=0 space_group="No. 216" delta_e_f_ev_per_atom=0.84 pbc="T T T"
La 0.000 0.000 0.000
La 0.000 3.489 3.489
La 3.489 0.000 3.489
La 3.489 3.489 0.000
Pu 1.745 1.745 5.234
Pu 1.745 5.234 1.745
Pu 5.234 1.745 1.745
Pu 5.234 5.234 5.234
Zr 0.000 0.000 3.489
Zr 0.000 3.489 0.000
Zr 3.489 0.000 0.000
Zr 3.489 3.489 3.489

=====

Record 4
12
Lattice="7.283 0.000 0.000 0.000 7.283 0.000 0.000 0.000 7.283" Properties=species:S:1:pos:R:3 comment="RbLaRe | the Open Quantum Materials Database | GGA-PBE | relaxed" polymorph_energy_mev_per_atom=0 space_group="No. 216" pbc="T T T"
Rb 0.000 0.000 0.000
Rb 0.000 3.641 3.641
Rb 3.641 0.000 3.641
Rb 3.641 3.641 0.000
La 0.000 0.000 3.641
La 0.000 3.641 0.000
La 3.641 0.000 0.000
La 3.641 3.641 3.641
Re 1.821 1.821 5.462
Re 1.821 5.462 1.821
Re 5.462 1.821 1.821
Re 5.462 5.462 5.462

=====

Record 5
12
Lattice="8.948 0.000 0.000 0.000 4.312 0.000 -3.335 0.000 10.229" Properties=species:S:1:pos:R:3 comment="RbLaZnSe3 | the Open Quantum Materials Database | GGA-PBE | relaxed" space_group="No. 11" energy_ev_per_atom=-4.353 pbc="T T T"
Rb 1.474 1.078 2.173
Rb 4.139 3.234 8.056
La -0.416 3.234 6.520
La 6.028 1.078 3.709
Zn 0.822 1.078 9.129
Zn 4.790 3.234 1.100
Se -0.846 3.234 3.586
Se -0.507 3.234 9.698
Se 1.652 1.078 6.841
Se 3.961 3.234 3.388
Se 6.119 1.078 0.531
Se 6.458 1.078 6.643

=====

Record 6
12
Lattice="9.756 -2.233 0.000 9.756 2.233 0.000 -1.806 0.000 8.698" Properties=species:S:1:pos:R:3 comment="RbLaZnSe3 | the Open Quantum Materials Database | GGA-PBE | relaxed" space_group="No. 12" energy_ev_per_atom=-4.189 pbc="T T T"
Rb 2.568 0.000 0.600
Rb 15.137 0.000 8.098
La 2.179 0.000 4.899
La 15.526 0.000 3.799
Zn 8.663 0.000 2.232
Zn 9.042 0.000 6.467
Se -0.903 0.000 4.349
Se 5.067 0.000 5.598
Se 6.286 0.000 1.843
Se 9.756 0.000 0.000
Se 11.419 0.000 6.855
Se 12.638 0.000 3.100

=====

Record 7
12
Lattice="2.681 -8.508 0.000 2.681 8.508 0.000 0.000 0.000 10.891" Properties=species:S:1:pos:R:3 comment="RbLaSmTe3 | the Open Quantum Materials Database | GGA-PBE | relaxed" space_group="No. 63" energy_ev_per_atom=-4.592 pbc="T T T"
Rb 2.681 4.615 8.168
Rb 2.681 -4.615 2.723
La 2.681 0.277 8.168
La 2.681 -0.277 2.723
Sm 0.000 0.000 0.000
Sm 0.000 0.000 5.445
Te 2.681 6.779 2.723
Te 2.681 1.925 0.404
Te 2.681 1.925 5.041
Te 2.681 -1.925 5.849
Te 2.681 -1.925 10.487
Te 2.681 -6.779 8.168

=====

Record 8
12
Lattice="7.889 0.000 0.000 0.000 7.889 0.000 0.000 0.000 7.889" Properties=species:S:1:pos:R:3 comment="RbLaTa | the Open Quantum Materials Database | GGA-PBE | relaxed" polymorph_energy_mev_per_atom=0 space_group="No. 216" pbc="T T T"
Rb 0.000 0.000 0.000
Rb 0.000 3.945 3.945
Rb 3.945 0.000 3.945
Rb 3.945 3.945 0.000
La 0.000 0.000 3.945
La 0.000 3.945 0.000
La 3.945 0.000 0.000
La 3.945 3.945 3.945
Ta 1.972 1.972 5.917
Ta 1.972 5.917 1.972
Ta 5.917 1.972 1.972
Ta 5.917 5.917 5.917